Record 1
Here is a relaxed structure of ThSc2Se3 from the Alexandria database. Energies are from PBE-GGA.

abc: 3.896 5.725 7.018
angles: 114.07 106.12 90.00
Fractional coordinates of all 6 atoms:
Th  0.000  0.500  0.000
Sc  0.655  0.155  0.309
Sc  0.345  0.845  0.691
Se  0.314  0.314  0.629
Se  0.000  0.000  0.000
Se  0.686  0.686  0.371

Computed properties:
The total energy is -6.62 eV/atom. The value obtained for the raw formation energy is -9.16 eV/f.u. Its space-group type is Immm, No. 71.

***

Record 2
Here is a relaxed structure of Sm6Er3Tm2In from the Alexandria database. Energies are from PBE-GGA.

abc: 6.140 6.140 11.661
angles: 95.06 95.06 120.05
Fractional coordinates of all 12 atoms:
Sm  0.917  0.589  0.753
Sm  0.754  0.754  0.249
Sm  0.083  0.411  0.247
Sm  0.589  0.917  0.753
Sm  0.246  0.246  0.751
Sm  0.411  0.083  0.247
Er  0.168  0.832  0.500
Er  0.832  0.168  0.500
Er  0.500  0.500  0.500
Tm  0.334  0.666  0.000
Tm  0.666  0.334  0.000
In  0.000  0.000  0.000

Computed properties:
The total energy is -4.51 eV/atom. Its energy of formation from the pure elements is -32 meV per atom. Its space-group type is C2/m, No. 12.

***

Record 3
Here is a relaxed structure of Zr2Sn2Pb from the Alexandria database. Energies are from PBE-GGA.

abc: 8.137 8.137 3.819
angles: 90.00 90.00 90.00
Fractional coordinates of all 10 atoms:
Pb  0.000  0.000  0.000
Pb  0.500  0.500  0.000
Sn  0.357  0.857  0.000
Sn  0.857  0.643  0.000
Sn  0.643  0.143  0.000
Sn  0.143  0.357  0.000
Zr  0.148  0.648  0.500
Zr  0.648  0.852  0.500
Zr  0.852  0.352  0.500
Zr  0.352  0.148  0.500

Computed properties:
For the relative energy among the computed polymorphs, the calculation gives 136 meV/atom. The total energy is -5.89 eV/atom. Its energy of formation from the pure elements is -126 meV per atom. Its space-group type is P4/mbm, No. 127.